No. 1
## Nb3CrAg (GGA-PBEsol)

Data for Nb3CrAg after structural relaxation.

Cell lengths 4.853, 4.853, 4.853 Å; angles 90.00, 90.00, 90.00 degrees
Fractional coordinates of all 5 atoms:
Cr 0.500 0.500 0.500
Nb 0.000 0.500 0.000
Nb 0.000 0.000 0.500
Nb 0.500 0.000 0.000
Ag 0.000 0.000 0.000

The calculation puts the formation energy at 2.129 eV per atom. The total moment comes out at 2.91 μB/f.u. As for the volume: 22.86 A^3/atom. The calculation puts the total energy at -35.370 eV per formula unit.

---

No. 2
## Nb2CrAg (GGA-PBEsol)

Data for Nb2CrAg after structural relaxation.

Cell lengths 4.488, 4.488, 4.488 Å; angles 60.00, 60.00, 60.00 degrees
Fractional coordinates of all 4 atoms:
Cr 0.000 0.000 0.000
Nb 0.250 0.250 0.250
Nb 0.750 0.750 0.750
Ag 0.500 0.500 0.500

The calculation puts the formation energy at 0.393 eV per atom. The total moment comes out at 0.00 μB/f.u. As for the volume: 15.98 A^3/atom. The calculation puts the total energy at -33.623 eV per formula unit.

---

No. 3
## NbCr3Ag2S8 (GGA-PBEsol)

Data for NbCr3Ag2S8 after structural relaxation.

Cell lengths 7.079, 7.204, 10.060 Å; angles 90.00, 90.00, 90.00 degrees
Fractional coordinates of all 28 atoms:
Nb 0.500 0.712 0.250
Nb 0.500 0.288 0.750
Cr 0.000 0.749 0.250
Cr 0.736 0.500 0.500
Cr 0.264 0.500 0.000
Cr 0.745 0.000 0.500
Cr 0.000 0.251 0.750
Cr 0.255 0.000 0.000
Ag 0.770 0.768 0.877
Ag 0.230 0.232 0.377
Ag 0.770 0.232 0.123
Ag 0.230 0.768 0.623
S 0.958 0.746 0.483
S 0.764 0.507 0.263
S 0.518 0.753 0.492
S 0.236 0.493 0.763
S 0.518 0.247 0.508
S 0.751 0.034 0.736
S 0.958 0.254 0.517
S 0.764 0.493 0.737
S 0.482 0.247 0.992
S 0.249 0.034 0.764
S 0.042 0.254 0.983
S 0.751 0.966 0.264
S 0.042 0.746 0.017
S 0.236 0.507 0.237
S 0.482 0.753 0.008
S 0.249 0.966 0.236

The total moment comes out at 8.90 μB/f.u. As for the volume: 18.32 A^3/atom. The calculation puts the total energy at -91.799 eV per formula unit. Its uncorrected formation energy is -0.611 eV per atom.

---

No. 4
## NbCr3Ag2S8 (GGA-PBEsol)

Data for NbCr3Ag2S8 after structural relaxation.

Cell lengths 7.058, 7.058, 7.100 Å; angles 61.13, 61.13, 61.31 degrees
Fractional coordinates of all 14 atoms:
Nb 0.657 0.343 0.500
Cr 0.614 0.386 0.000
Cr 0.619 0.888 0.502
Cr 0.112 0.381 0.498
Ag 0.010 0.734 0.878
Ag 0.266 0.990 0.122
S 0.385 0.146 0.267
S 0.850 0.136 0.242
S 0.370 0.147 0.713
S 0.379 0.582 0.268
S 0.854 0.615 0.733
S 0.864 0.150 0.758
S 0.853 0.630 0.287
S 0.418 0.621 0.732

The total moment comes out at 8.95 μB/f.u. As for the volume: 18.34 A^3/atom. The calculation puts the total energy at -91.799 eV per formula unit. Its uncorrected formation energy is -0.611 eV per atom.

---

No. 5
## NbCr3Ag2S8 (GGA-PBEsol)

Data for NbCr3Ag2S8 after structural relaxation.

Cell lengths 5.872, 6.328, 6.787 Å; angles 90.00, 90.00, 91.63 degrees
Fractional coordinates of all 14 atoms:
Nb 0.500 0.500 0.000
Cr 0.500 0.500 0.500
Cr 0.000 0.500 0.756
Cr 0.000 0.500 0.244
Ag 0.000 0.000 0.727
Ag 0.000 0.000 0.273
S 0.675 0.720 0.741
S 0.675 0.720 0.259
S 0.174 0.702 0.500
S 0.167 0.728 0.000
S 0.826 0.298 0.500
S 0.833 0.272 0.000
S 0.325 0.280 0.259
S 0.325 0.280 0.741

The total moment comes out at 8.66 μB/f.u. As for the volume: 18.01 A^3/atom. The calculation puts the total energy at -91.564 eV per formula unit. Its uncorrected formation energy is -0.594 eV per atom.

---

No. 6
## NbCrAg2W (GGA-PBEsol)

Data for NbCrAg2W after structural relaxation.

Cell lengths 4.259, 4.941, 4.941 Å; angles 90.00, 90.00, 90.00 degrees
Fractional coordinates of all 5 atoms:
Cr 0.500 0.000 0.000
Nb 0.000 0.000 0.000
Ag 0.000 0.000 0.500
Ag 0.000 0.500 0.000
W 0.500 0.500 0.500

The calculation puts the formation energy at 2.348 eV per atom. The total moment comes out at 3.81 μB/f.u. As for the volume: 20.80 A^3/atom. The calculation puts the total energy at -29.755 eV per formula unit.

---

No. 7
## CrNiAg2 (GGA-PBEsol)

Data for CrNiAg2 after structural relaxation.

Cell lengths 2.623, 2.623, 7.948 Å; angles 90.00, 90.00, 90.00 degrees
Fractional coordinates of all 4 atoms:
Ag 0.000 0.000 0.742
Ag 0.000 0.000 0.258
Cr 0.500 0.500 0.000
Ni 0.500 0.500 0.500

The calculation puts the formation energy at 0.520 eV per atom. The total moment comes out at 0.63 μB/f.u. As for the volume: 13.67 A^3/atom. The calculation puts the total energy at -20.941 eV per formula unit.

---

No. 8
## CrNiAg2 (GGA-PBEsol)

Data for CrNiAg2 after structural relaxation.

Cell lengths 2.824, 4.594, 4.815 Å; angles 102.35, 107.05, 90.00 degrees
Fractional coordinates of all 4 atoms:
Ag 0.257 0.256 0.515
Ag 0.743 0.744 0.485
Cr 0.500 0.000 0.000
Ni 0.000 0.500 0.000

The calculation puts the formation energy at 0.423 eV per atom. The total moment comes out at 3.84 μB/f.u. As for the volume: 14.56 A^3/atom. The calculation puts the total energy at -21.332 eV per formula unit.

---

No. 9
## CrNiAg2 (GGA-PBEsol)

Data for CrNiAg2 after structural relaxation.

Cell lengths 4.363, 4.363, 4.363 Å; angles 60.00, 60.00, 60.00 degrees
Fractional coordinates of all 4 atoms:
Ag 0.250 0.250 0.250
Ag 0.750 0.750 0.750
Cr 0.000 0.000 0.000
Ni 0.500 0.500 0.500

The calculation puts the formation energy at 0.473 eV per atom. The total moment comes out at 4.31 μB/f.u. As for the volume: 14.68 A^3/atom. The calculation puts the total energy at -21.130 eV per formula unit.

---

No. 10
## CrNiAg2 (GGA-PBEsol)

Data for CrNiAg2 after structural relaxation.

Cell lengths 3.881, 3.881, 4.704 Å; angles 114.36, 114.36, 90.00 degrees
Fractional coordinates of all 4 atoms:
Ag 0.000 0.000 0.000
Ag 0.750 0.250 0.500
Cr 0.500 0.500 0.000
Ni 0.250 0.750 0.500

The calculation puts the formation energy at 0.389 eV per atom. The total moment comes out at 3.70 μB/f.u. As for the volume: 14.39 A^3/atom. The calculation puts the total energy at -21.467 eV per formula unit.

---

No. 11
## CrNiAg2 (GGA-PBEsol)

Data for CrNiAg2 after structural relaxation.

Cell lengths 2.730, 4.534, 4.779 Å; angles 90.00, 94.89, 90.00 degrees
Fractional coordinates of all 4 atoms:
Ag 0.769 0.000 0.745
Ag 0.231 0.000 0.255
Cr 0.500 0.500 0.000
Ni 0.000 0.500 0.500

The calculation puts the formation energy at 0.485 eV per atom. The total moment comes out at 3.89 μB/f.u. As for the volume: 14.73 A^3/atom. The calculation puts the total energy at -21.082 eV per formula unit.

---

No. 12
## Cr3AgO8 (GGA-PBEsol)

Data for Cr3AgO8 after structural relaxation.

Cell lengths 5.013, 5.013, 6.849 Å; angles 87.23, 87.23, 65.96 degrees
Fractional coordinates of all 12 atoms:
Cr 0.000 0.000 0.500
Cr 0.652 0.652 0.279
Cr 0.348 0.348 0.721
Ag 0.000 0.000 0.000
O 0.253 0.253 0.932
O 0.747 0.747 0.068
O 0.219 0.219 0.548
O 0.781 0.781 0.452
O 0.793 0.282 0.298
O 0.282 0.793 0.298
O 0.207 0.718 0.702
O 0.718 0.207 0.702

The total moment comes out at 3.01 μB/f.u. As for the volume: 13.08 A^3/atom. The calculation puts the total energy at -94.921 eV per formula unit. Its uncorrected formation energy is -1.574 eV per atom.